# 1
The following is a PBE-GGA calculation of crystalline LiInSi2 at its relaxed geometry, from Alexandria. Values from VASP.

Structure (Quantum ESPRESSO input):
```
&SYSTEM
  ibrav = 0, nat = 4, ntyp = 3
/
ATOMIC_SPECIES
In 114.82 In.upf
Li 6.94 Li.upf
Si 28.09 Si.upf
ATOMIC_POSITIONS crystal
In 0.500 0.500 0.500
Li 0.000 0.000 0.500
Si 0.000 0.000 0.000
Si 0.500 0.500 0.000
CELL_PARAMETERS angstrom
2.935 0.000 0.000
0.000 4.970 -0.011
0.000 3.068 4.825
```

Energy relative to the elements, uncorrected, eV/atom: 0.21
Volume, A^3/atom: 17.62
Size of the total moment, μB per atom: 0.000
Calculated density, kg/m3: 4192

# 2
The following is a PBE-GGA calculation of crystalline LiIn2Si at its relaxed geometry, from Alexandria. Values from VASP.

Structure (Quantum ESPRESSO input):
```
&SYSTEM
  ibrav = 0, nat = 4, ntyp = 3
/
ATOMIC_SPECIES
In 114.82 In.upf
Li 6.94 Li.upf
Si 28.09 Si.upf
ATOMIC_POSITIONS crystal
In 0.000 0.000 0.000
In 0.500 0.500 0.000
Li 0.500 0.000 0.500
Si 0.000 0.500 0.500
CELL_PARAMETERS angstrom
5.245 -0.001 0.000
-1.764 4.940 0.000
0.013 0.018 3.199
```

Energy relative to the elements, uncorrected, eV/atom: 0.08
Volume, A^3/atom: 20.72
Size of the total moment, μB per atom: 0.000
Calculated density, kg/m3: 5303

# 3
The following is a PBE-GGA calculation of crystalline LiInSi at its relaxed geometry, from Alexandria. Values from VASP.

Structure (Quantum ESPRESSO input):
```
&SYSTEM
  ibrav = 0, nat = 3, ntyp = 3
/
ATOMIC_SPECIES
Si 28.09 Si.upf
Li 6.94 Li.upf
In 114.82 In.upf
ATOMIC_POSITIONS crystal
Si 0.333 0.667 0.000
Li 0.667 0.333 0.500
In 0.000 0.000 0.000
CELL_PARAMETERS angstrom
4.116 -2.377 0.000
0.000 4.753 0.000
0.000 0.000 2.986
```

Energy relative to the elements, uncorrected, eV/atom: 0.06
Volume, A^3/atom: 19.47
Size of the total moment, μB per atom: 0.000
Calculated density, kg/m3: 4259

# 4
The following is a PBE-GGA calculation of crystalline LiInSi2 at its relaxed geometry, from Alexandria. Values from VASP.

Structure (Quantum ESPRESSO input):
```
&SYSTEM
  ibrav = 0, nat = 4, ntyp = 3
/
ATOMIC_SPECIES
In 114.82 In.upf
Li 6.94 Li.upf
Si 28.09 Si.upf
ATOMIC_POSITIONS crystal
In 0.500 0.000 0.500
Li 0.000 0.500 0.500
Si 0.000 0.000 0.000
Si 0.500 0.500 0.000
CELL_PARAMETERS angstrom
-1.554 -1.367 -3.266
0.155 -3.592 1.430
-4.251 0.533 1.799
```

Energy relative to the elements, uncorrected, eV/atom: 0.17
Volume, A^3/atom: 17.38
Size of the total moment, μB per atom: 0.000
Calculated density, kg/m3: 4251

# 5
The following is a PBE-GGA calculation of crystalline LiInSi at its relaxed geometry, from Alexandria. Values from VASP.

Structure (Quantum ESPRESSO input):
```
&SYSTEM
  ibrav = 0, nat = 6, ntyp = 3
/
ATOMIC_SPECIES
Si 28.09 Si.upf
Li 6.94 Li.upf
In 114.82 In.upf
ATOMIC_POSITIONS crystal
Si 0.000 0.000 0.000
Si 0.000 0.000 0.500
Li 0.333 0.667 0.250
Li 0.667 0.333 0.750
In 0.000 0.000 0.250
In 0.000 0.000 0.750
CELL_PARAMETERS angstrom
-2.187 1.156 -4.331
-0.841 -4.439 2.112
-7.743 3.812 4.927
```

Energy relative to the elements, uncorrected, eV/atom: 0.85
Volume, A^3/atom: 35.68
Size of the total moment, μB per atom: 0.000
Calculated density, kg/m3: 2324

# 6
The following is a PBE-GGA calculation of crystalline LiInSi2 at its relaxed geometry, from Alexandria. Values from VASP.

Structure (Quantum ESPRESSO input):
```
&SYSTEM
  ibrav = 0, nat = 4, ntyp = 3
/
ATOMIC_SPECIES
In 114.82 In.upf
Li 6.94 Li.upf
Si 28.09 Si.upf
ATOMIC_POSITIONS crystal
In 0.250 0.250 0.250
Li 0.750 0.750 0.750
Si 0.010 0.010 0.010
Si 0.490 0.490 0.490
CELL_PARAMETERS angstrom
-7.852 4.718 4.492
-9.280 2.408 3.490
-7.908 2.270 6.034
```

Energy relative to the elements, uncorrected, eV/atom: 0.33
Volume, A^3/atom: 18.25
Size of the total moment, μB per atom: 0.000
Calculated density, kg/m3: 4047

# 7
The following is a PBE-GGA calculation of crystalline LiInSi at its relaxed geometry, from Alexandria. Values from VASP.

Structure (Quantum ESPRESSO input):
```
&SYSTEM
  ibrav = 0, nat = 3, ntyp = 3
/
ATOMIC_SPECIES
In 114.82 In.upf
Li 6.94 Li.upf
Si 28.09 Si.upf
ATOMIC_POSITIONS crystal
In 0.000 0.000 0.991
Li 0.667 0.333 0.354
Si 0.333 0.667 0.655
CELL_PARAMETERS angstrom
3.229 0.000 0.000
-1.615 2.797 0.000
0.000 0.000 6.532
```

Energy relative to the elements, uncorrected, eV/atom: 0.11
Volume, A^3/atom: 19.66
Size of the total moment, μB per atom: 0.000
Calculated density, kg/m3: 4218

# 8
The following is a PBE-GGA calculation of crystalline LiIn2Si at its relaxed geometry, from Alexandria. Values from VASP.

Structure (Quantum ESPRESSO input):
```
&SYSTEM
  ibrav = 0, nat = 8, ntyp = 3
/
ATOMIC_SPECIES
Si 28.09 Si.upf
Li 6.94 Li.upf
In 114.82 In.upf
ATOMIC_POSITIONS crystal
Si 0.000 0.000 0.000
Si 0.750 0.250 0.500
Li 0.500 0.500 0.000
Li 0.250 0.750 0.500
In 0.706 0.125 0.250
In 0.044 0.625 0.250
In 0.375 0.294 0.750
In 0.875 0.956 0.750
CELL_PARAMETERS angstrom
8.650 0.000 0.000
0.000 8.650 0.000
4.325 4.325 2.616
```

Energy relative to the elements, uncorrected, eV/atom: 0.09
Volume, A^3/atom: 24.47
Size of the total moment, μB per atom: 0.000
Calculated density, kg/m3: 4491

# 9
The following is a PBE-GGA calculation of crystalline LiInSi2 at its relaxed geometry, from Alexandria. Values from VASP.

Structure (Quantum ESPRESSO input):
```
&SYSTEM
  ibrav = 0, nat = 4, ntyp = 3
/
ATOMIC_SPECIES
In 114.82 In.upf
Li 6.94 Li.upf
Si 28.09 Si.upf
ATOMIC_POSITIONS crystal
In 0.000 0.250 0.520
Li 0.500 0.750 0.815
Si 0.000 0.250 0.975
Si 0.500 0.250 0.190
CELL_PARAMETERS angstrom
-2.385 2.810 1.219
-1.427 -1.910 1.610
4.075 1.246 5.101
```

Energy relative to the elements, uncorrected, eV/atom: 0.13
Volume, A^3/atom: 18.56
Size of the total moment, μB per atom: 0.000
Calculated density, kg/m3: 3980

# 10
The following is a PBE-GGA calculation of crystalline LiInSi2 at its relaxed geometry, from Alexandria. Values from VASP.

Structure (Quantum ESPRESSO input):
```
&SYSTEM
  ibrav = 0, nat = 8, ntyp = 3
/
ATOMIC_SPECIES
Si 28.09 Si.upf
Li 6.94 Li.upf
In 114.82 In.upf
ATOMIC_POSITIONS crystal
Si 0.635 0.125 0.250
Si 0.115 0.625 0.250
Si 0.375 0.365 0.750
Si 0.875 0.885 0.750
Li 0.500 0.500 0.000
Li 0.250 0.750 0.500
In 0.000 0.000 0.000
In 0.750 0.250 0.500
CELL_PARAMETERS angstrom
7.667 0.000 0.000
0.000 7.667 0.000
3.834 3.834 2.629
```

Energy relative to the elements, uncorrected, eV/atom: 0.35
Volume, A^3/atom: 19.32
Size of the total moment, μB per atom: 0.000
Calculated density, kg/m3: 3824

# 11
The following is a PBE-GGA calculation of crystalline Li4InSi at its relaxed geometry, from Alexandria. Values from VASP.

Structure (Quantum ESPRESSO input):
```
&SYSTEM
  ibrav = 0, nat = 6, ntyp = 3
/
ATOMIC_SPECIES
Li 6.94 Li.upf
In 114.82 In.upf
Si 28.09 Si.upf
ATOMIC_POSITIONS crystal
Li 0.872 0.376 0.376
Li 0.376 0.376 0.872
Li 0.376 0.872 0.376
Li 0.376 0.376 0.376
In 0.000 0.000 0.000
Si 0.750 0.750 0.750
CELL_PARAMETERS angstrom
0.000 3.703 3.703
3.703 0.000 3.703
3.703 3.703 0.000
```

Distance to the lowest polymorph of the same formula, kJ/mol of formula units: 152
Energy relative to the elements, uncorrected, eV/atom: 0.04
Volume, A^3/atom: 16.92
Size of the total moment, μB per atom: 0.001
Calculated density, kg/m3: 2791

# 12
The following is a PBE-GGA calculation of crystalline LiInSi2 at its relaxed geometry, from Alexandria. Values from VASP.

Structure (Quantum ESPRESSO input):
```
&SYSTEM
  ibrav = 0, nat = 4, ntyp = 3
/
ATOMIC_SPECIES
In 114.82 In.upf
Li 6.94 Li.upf
Si 28.09 Si.upf
ATOMIC_POSITIONS crystal
In 0.500 0.000 0.500
Li 0.000 0.500 0.500
Si 0.000 0.000 0.000
Si 0.500 0.500 0.000
CELL_PARAMETERS angstrom
5.137 -0.019 0.000
-2.195 4.644 0.000
0.000 0.000 2.996
```

Energy relative to the elements, uncorrected, eV/atom: 0.22
Volume, A^3/atom: 17.84
Size of the total moment, μB per atom: 0.000
Calculated density, kg/m3: 4141

# 13
The following is a PBE-GGA calculation of crystalline LiInSi at its relaxed geometry, from Alexandria. Values from VASP.

Structure (Quantum ESPRESSO input):
```
&SYSTEM
  ibrav = 0, nat = 6, ntyp = 3
/
ATOMIC_SPECIES
Si 28.09 Si.upf
Li 6.94 Li.upf
In 114.82 In.upf
ATOMIC_POSITIONS crystal
Si 0.076 0.570 0.157
Si 0.076 0.190 0.777
Li 0.897 0.047 0.300
Li 0.880 0.616 0.731
In 0.467 0.478 0.365
In 0.467 0.982 0.869
CELL_PARAMETERS angstrom
5.060 -0.001 -0.018
-1.796 4.925 0.073
1.814 -0.971 4.821
```

Energy relative to the elements, uncorrected, eV/atom: -0.03
Volume, A^3/atom: 20.10
Size of the total moment, μB per atom: 0.000
Calculated density, kg/m3: 4126

# 14
The following is a PBE-GGA calculation of crystalline LiInSi at its relaxed geometry, from Alexandria. Values from VASP.

Structure (Quantum ESPRESSO input):
```
&SYSTEM
  ibrav = 0, nat = 6, ntyp = 3
/
ATOMIC_SPECIES
Si 28.09 Si.upf
Li 6.94 Li.upf
In 114.82 In.upf
ATOMIC_POSITIONS crystal
Si 0.333 0.667 0.250
Si 0.667 0.333 0.750
Li 0.666 0.334 0.250
Li 0.334 0.666 0.750
In 0.000 0.000 0.000
In 0.000 0.000 0.500
CELL_PARAMETERS angstrom
2.210 -3.823 0.000
2.210 3.823 0.000
0.000 0.000 6.665
```

Energy relative to the elements, uncorrected, eV/atom: 0.08
Volume, A^3/atom: 18.77
Size of the total moment, μB per atom: 0.000
Calculated density, kg/m3: 4418

# 15
The following is a PBE-GGA calculation of crystalline LiInSi2 at its relaxed geometry, from Alexandria. Values from VASP.

Structure (Quantum ESPRESSO input):
```
&SYSTEM
  ibrav = 0, nat = 4, ntyp = 3
/
ATOMIC_SPECIES
In 114.82 In.upf
Li 6.94 Li.upf
Si 28.09 Si.upf
ATOMIC_POSITIONS crystal
In 0.500 0.500 0.500
Li 0.750 0.750 0.750
Si 0.000 0.000 0.000
Si 0.250 0.250 0.250
CELL_PARAMETERS angstrom
4.701 0.000 0.000
2.351 4.071 0.000
2.351 1.357 3.838
```

Energy relative to the elements, uncorrected, eV/atom: 0.29
Volume, A^3/atom: 18.37
Size of the total moment, μB per atom: 0.000
Calculated density, kg/m3: 4022

# 16
The following is a PBE-GGA calculation of crystalline LiInSi at its relaxed geometry, from Alexandria. Values from VASP.

Structure (Quantum ESPRESSO input):
```
&SYSTEM
  ibrav = 0, nat = 6, ntyp = 3
/
ATOMIC_SPECIES
Si 28.09 Si.upf
Li 6.94 Li.upf
In 114.82 In.upf
ATOMIC_POSITIONS crystal
Si 0.680 0.584 0.327
Si 0.180 0.173 0.916
Li 0.680 0.205 0.949
Li 0.180 0.551 0.295
In 0.177 0.348 0.092
In 0.677 0.408 0.152
CELL_PARAMETERS angstrom
5.755 0.000 0.040
1.626 7.563 -1.422
-1.626 7.563 1.422
```

Energy relative to the elements, uncorrected, eV/atom: -0.09
Volume, A^3/atom: 20.80
Size of the total moment, μB per atom: 0.000
Calculated density, kg/m3: 3988

# 17
The following is a PBE-GGA calculation of crystalline LiInSi at its relaxed geometry, from Alexandria. Values from VASP.

Structure (Quantum ESPRESSO input):
```
&SYSTEM
  ibrav = 0, nat = 6, ntyp = 3
/
ATOMIC_SPECIES
Si 28.09 Si.upf
Li 6.94 Li.upf
In 114.82 In.upf
ATOMIC_POSITIONS crystal
Si 0.659 0.379 0.333
Si 0.341 0.621 0.667
Li 0.631 0.830 0.136
Li 0.369 0.170 0.864
In 0.913 0.252 0.675
In 0.087 0.748 0.325
CELL_PARAMETERS angstrom
5.894 0.002 0.005
-1.284 5.170 -0.030
1.383 -0.955 4.038
```

Energy relative to the elements, uncorrected, eV/atom: -0.05
Volume, A^3/atom: 20.47
Size of the total moment, μB per atom: 0.000
Calculated density, kg/m3: 4051

# 18
The following is a PBE-GGA calculation of crystalline LiInSi at its relaxed geometry, from Alexandria. Values from VASP.

Structure (Quantum ESPRESSO input):
```
&SYSTEM
  ibrav = 0, nat = 12, ntyp = 3
/
ATOMIC_SPECIES
Si 28.09 Si.upf
Li 6.94 Li.upf
In 114.82 In.upf
ATOMIC_POSITIONS crystal
Si 0.235 0.250 0.624
Si 0.265 0.750 0.124
Si 0.765 0.750 0.376
Si 0.735 0.250 0.876
Li 0.620 0.250 0.569
Li 0.880 0.750 0.069
Li 0.380 0.750 0.431
Li 0.120 0.250 0.931
In 0.557 0.250 0.187
In 0.943 0.750 0.687
In 0.443 0.750 0.813
In 0.057 0.250 0.313
CELL_PARAMETERS angstrom
-3.065 -5.756 2.766
3.034 -0.382 2.567
-3.882 4.602 5.274
```

Energy relative to the elements, uncorrected, eV/atom: 0.00
Volume, A^3/atom: 18.86
Size of the total moment, μB per atom: 0.000
Calculated density, kg/m3: 4397

# 19
The following is a PBE-GGA calculation of crystalline LiInSi2 at its relaxed geometry, from Alexandria. Values from VASP.

Structure (Quantum ESPRESSO input):
```
&SYSTEM
  ibrav = 0, nat = 4, ntyp = 3
/
ATOMIC_SPECIES
In 114.82 In.upf
Li 6.94 Li.upf
Si 28.09 Si.upf
ATOMIC_POSITIONS crystal
In 0.500 0.250 0.250
Li 0.500 0.750 0.750
Si 0.000 0.094 0.924
Si 0.000 0.406 0.576
CELL_PARAMETERS angstrom
4.573 0.000 0.000
0.000 2.973 -0.006
0.000 -1.229 5.624
```

Energy relative to the elements, uncorrected, eV/atom: 0.16
Volume, A^3/atom: 19.11
Size of the total moment, μB per atom: 0.000
Calculated density, kg/m3: 3866

# 20
The following is a PBE-GGA calculation of crystalline LiIn2Si at its relaxed geometry, from Alexandria. Values from VASP.

Structure (Quantum ESPRESSO input):
```
&SYSTEM
  ibrav = 0, nat = 4, ntyp = 3
/
ATOMIC_SPECIES
In 114.82 In.upf
Li 6.94 Li.upf
Si 28.09 Si.upf
ATOMIC_POSITIONS crystal
In 0.000 0.000 0.000
In 0.250 0.750 0.500
Li 0.500 0.500 0.000
Si 0.750 0.250 0.500
CELL_PARAMETERS angstrom
-2.442 -4.811 1.265
3.398 -4.373 0.221
0.000 5.109 2.147
```

Energy relative to the elements, uncorrected, eV/atom: 0.06
Volume, A^3/atom: 20.69
Size of the total moment, μB per atom: 0.000
Calculated density, kg/m3: 5311